# 1
A plane-wave DFT calculation with GGA-PBE was carried out for an optimized crystal structure of MgW2.

Output
As for the total moment: 0.000 μB/atom. The electronic total energy is -7.0940 eV/atom. The energy of formation comes out at 2.07 eV/atom.

Cell: 6.073 6.073 6.073 Å, 90.00 90.00 90.00°
Element x y z (fractional)
W  0.620  0.880  0.120
W  0.120  0.620  0.880
W  0.380  0.120  0.880
W  0.620  0.620  0.620
W  0.880  0.380  0.120
W  0.120  0.880  0.380
W  0.880  0.120  0.620
W  0.380  0.380  0.380
Mg  0.000  0.500  0.500
Mg  0.000  0.000  0.000
Mg  0.500  0.000  0.500
Mg  0.500  0.500  0.000

# 2
A plane-wave DFT calculation with GGA-PBE was carried out for an optimized crystal structure of Mg2W.

Output
As for the total moment: 0.000 μB/atom. The electronic total energy is -4.9315 eV/atom. The energy of formation comes out at 0.45 eV/atom.

Cell: 5.853 5.853 7.237 Å, 77.37 77.37 27.44°
Element x y z (fractional)
W  0.792  0.792  0.139
W  0.208  0.208  0.861
Mg  0.473  0.473  0.823
Mg  0.139  0.139  0.477
Mg  0.527  0.527  0.177
Mg  0.861  0.861  0.523

# 3
A plane-wave DFT calculation with GGA-PBE was carried out for an optimized crystal structure of MgW3.

Output
As for the total moment: 0.000 μB/atom. The electronic total energy is -9.6493 eV/atom. The energy of formation comes out at 0.46 eV/atom.

Cell: 2.666 4.715 5.289 Å, 90.00 90.00 90.00°
Element x y z (fractional)
Mg  0.000  0.500  0.317
W  0.500  0.000  0.519
W  0.500  0.500  0.809
W  0.000  0.000  0.022

# 4
A plane-wave DFT calculation with GGA-PBE was carried out for an optimized crystal structure of MgW.

Output
As for the total moment: 0.000 μB/atom. The electronic total energy is -6.8257 eV/atom. The energy of formation comes out at 0.45 eV/atom.

Cell: 2.768 4.673 5.400 Å, 90.00 90.00 90.00°
Element x y z (fractional)
Mg  0.500  0.500  0.806
Mg  0.500  0.000  0.528
W  0.000  0.500  0.286
W  0.000  0.000  0.047